# 1
The following is a DFT calculation (GGA-PBEsol) of Dy2Mo3O12 after structural relaxation.

Structure (POSCAR):
```
Dy2Mo3O12
1.0
3.759 -5.619 0.000
3.759 5.619 0.000
-3.729 0.000 10.599
Dy Mo O
4 6 24
Direct
0.044 0.290 0.091 Dy
0.290 0.044 0.591 Dy
0.710 0.956 0.409 Dy
0.956 0.710 0.909 Dy
0.130 0.870 0.250 Mo
0.244 0.462 0.446 Mo
0.462 0.244 0.946 Mo
0.538 0.756 0.054 Mo
0.756 0.538 0.554 Mo
0.870 0.130 0.750 Mo
0.079 0.662 0.108 O
0.086 0.182 0.459 O
0.089 0.453 0.298 O
0.129 0.210 0.720 O
0.182 0.086 0.959 O
0.210 0.129 0.220 O
0.230 0.666 0.558 O
0.334 0.770 0.942 O
0.338 0.921 0.392 O
0.402 0.478 0.080 O
0.453 0.089 0.798 O
0.478 0.402 0.580 O
0.522 0.598 0.420 O
0.547 0.911 0.202 O
0.598 0.522 0.920 O
0.662 0.079 0.608 O
0.666 0.230 0.058 O
0.770 0.334 0.442 O
0.790 0.871 0.780 O
0.818 0.914 0.041 O
0.871 0.790 0.280 O
0.911 0.547 0.702 O
0.914 0.818 0.541 O
0.921 0.338 0.892 O
```

Results
* uncorrected formation energy: -2.554 eV per atom
* crystal system: monoclinic
* excess energy over the best structure of this formula in the dataset: 0 meV/atom

***

# 2
The following is a DFT calculation (GGA-PBEsol) of Dy2Mo3O12 after structural relaxation.

Structure (POSCAR):
```
Dy2Mo3O12
1.0
7.321 0.000 0.000
0.000 7.321 0.000
0.000 0.000 10.540
Dy Mo O
4 6 24
Direct
0.186 0.314 0.262 Dy
0.314 0.814 0.738 Dy
0.686 0.186 0.738 Dy
0.814 0.686 0.262 Dy
0.000 0.000 0.000 Mo
0.207 0.293 0.644 Mo
0.293 0.793 0.356 Mo
0.500 0.500 0.000 Mo
0.707 0.207 0.356 Mo
0.793 0.707 0.644 Mo
0.006 0.775 0.704 O
0.043 0.191 0.097 O
0.126 0.626 0.309 O
0.191 0.957 0.903 O
0.195 0.305 0.479 O
0.225 0.006 0.296 O
0.275 0.506 0.704 O
0.305 0.805 0.521 O
0.309 0.457 0.097 O
0.374 0.126 0.691 O
0.457 0.691 0.903 O
0.494 0.275 0.296 O
0.506 0.725 0.296 O
0.543 0.309 0.903 O
0.626 0.874 0.691 O
0.691 0.543 0.097 O
0.695 0.195 0.521 O
0.725 0.494 0.704 O
0.775 0.994 0.296 O
0.805 0.695 0.479 O
0.809 0.043 0.903 O
0.874 0.374 0.309 O
0.957 0.809 0.097 O
0.994 0.225 0.704 O
```

Results
* uncorrected formation energy: -2.549 eV per atom
* crystal system: tetragonal
* excess energy over the best structure of this formula in the dataset: 6 meV/atom

***

# 3
The following is a DFT calculation (GGA-PBEsol) of Dy2Mo3O12 after structural relaxation.

Structure (POSCAR):
```
Dy2Mo3O12
1.0
10.277 0.000 0.000
0.000 10.305 0.000
0.000 0.000 10.563
Dy Mo O
8 12 48
Direct
0.006 0.187 0.000 Dy
0.187 0.504 0.526 Dy
0.313 0.004 0.526 Dy
0.494 0.687 0.000 Dy
0.506 0.313 0.000 Dy
0.687 0.996 0.526 Dy
0.813 0.496 0.526 Dy
0.994 0.813 0.000 Dy
0.003 0.794 0.620 Mo
0.205 0.511 0.907 Mo
0.243 0.757 0.263 Mo
0.257 0.257 0.263 Mo
0.295 0.011 0.907 Mo
0.497 0.294 0.620 Mo
0.503 0.706 0.620 Mo
0.705 0.989 0.907 Mo
0.743 0.743 0.263 Mo
0.757 0.243 0.263 Mo
0.795 0.489 0.907 Mo
0.997 0.206 0.620 Mo
0.005 0.373 0.571 O
0.019 0.195 0.784 O
0.116 0.382 0.971 O
0.122 0.119 0.546 O
0.122 0.829 0.169 O
0.127 0.995 0.954 O
0.143 0.182 0.163 O
0.152 0.663 0.960 O
0.157 0.851 0.579 O
0.171 0.641 0.364 O
0.182 0.376 0.358 O
0.193 0.510 0.742 O
0.307 0.010 0.742 O
0.318 0.876 0.358 O
0.329 0.141 0.364 O
0.343 0.351 0.579 O
0.348 0.163 0.960 O
0.357 0.682 0.163 O
0.373 0.495 0.954 O
0.378 0.329 0.169 O
0.378 0.619 0.546 O
0.384 0.882 0.971 O
0.481 0.695 0.784 O
0.495 0.873 0.571 O
0.505 0.127 0.571 O
0.519 0.305 0.784 O
0.616 0.118 0.971 O
0.622 0.381 0.546 O
0.622 0.671 0.169 O
0.627 0.505 0.954 O
0.643 0.318 0.163 O
0.652 0.837 0.960 O
0.657 0.649 0.579 O
0.671 0.859 0.364 O
0.682 0.124 0.358 O
0.693 0.990 0.742 O
0.807 0.490 0.742 O
0.818 0.624 0.358 O
0.829 0.359 0.364 O
0.843 0.149 0.579 O
0.848 0.337 0.960 O
0.857 0.818 0.163 O
0.873 0.005 0.954 O
0.878 0.171 0.169 O
0.878 0.881 0.546 O
0.884 0.618 0.971 O
0.981 0.805 0.784 O
0.995 0.627 0.571 O
```

Results
* uncorrected formation energy: -2.549 eV per atom
* crystal system: orthorhombic
* excess energy over the best structure of this formula in the dataset: 6 meV/atom

***

# 4
The following is a DFT calculation (GGA-PBEsol) of Dy2Mo4O15 after structural relaxation.

Structure (POSCAR):
```
Dy2Mo4O15
1.0
6.740 0.000 0.000
0.000 9.575 0.000
-2.777 0.000 10.208
Dy Mo O
4 8 30
Direct
0.211 0.023 0.275 Dy
0.211 0.477 0.775 Dy
0.789 0.523 0.225 Dy
0.789 0.977 0.725 Dy
0.082 0.744 0.011 Mo
0.082 0.756 0.511 Mo
0.383 0.095 0.844 Mo
0.383 0.405 0.344 Mo
0.617 0.595 0.656 Mo
0.617 0.905 0.156 Mo
0.918 0.244 0.489 Mo
0.918 0.256 0.989 Mo
0.023 0.128 0.397 O
0.023 0.372 0.897 O
0.119 0.165 0.098 O
0.119 0.335 0.598 O
0.123 0.055 0.818 O
0.123 0.445 0.318 O
0.218 0.652 0.918 O
0.218 0.848 0.418 O
0.249 0.635 0.617 O
0.249 0.865 0.117 O
0.387 0.223 0.350 O
0.387 0.277 0.850 O
0.448 0.028 0.707 O
0.448 0.472 0.207 O
0.500 0.000 0.000 O
0.500 0.500 0.500 O
0.552 0.528 0.793 O
0.552 0.972 0.293 O
0.613 0.723 0.150 O
0.613 0.777 0.650 O
0.751 0.135 0.883 O
0.751 0.365 0.383 O
0.782 0.152 0.582 O
0.782 0.348 0.082 O
0.877 0.555 0.682 O
0.877 0.945 0.182 O
0.881 0.665 0.402 O
0.881 0.835 0.902 O
0.977 0.628 0.103 O
0.977 0.872 0.603 O
```

Results
* uncorrected formation energy: -2.439 eV per atom
* crystal system: monoclinic